No. 1
DFT (GGA-PBE) results for a relaxed Ac4Ni3Au crystal.

Output
Total DFT energy (no corrections) (eV/atom): -5.002
Space group: Pmm2 (25)
Formation energy (meV/atom): -370

Lattice parameters (Å, degrees): 4.1150 4.6723 11.2580 90.00 90.00 90.00
With the nearest neighbours (Å) after each atom.
Sites, in units of the cell vectors:
Ni 0.0000 0.5000 0.5740  2 Ni 2.84, 3 Ac 3.03-3.13
Ni 0.0000 0.0000 0.4312  2 Ni 2.84, 6 Ac 3.08-3.17
Ni 0.5000 0.0000 0.9177  2 Au 2.93, 7 Ac 3.18-3.23
Ac 0.5000 0.5000 0.3759  6 Ni 3.03-3.17, 1 Au 3.39
Ac 0.0000 0.5000 0.8521  5 Ni 3.13-3.20, 2 Au 3.25
Ac 0.0000 0.0000 0.1387  4 Au 3.19, 3 Ni 3.23-3.29
Ac 0.5000 0.0000 0.6352  7 Ni 3.08-3.19
Au 0.5000 0.5000 0.0750  2 Ni 2.93, 6 Ac 3.19-3.25

No. 2
DFT (GGA-PBE) results for a relaxed HfCuPt4 crystal.

Output
Total DFT energy (no corrections) (eV/atom): -7.026
Space group: C2/m (12)
Formation energy (meV/atom): -657

Lattice parameters (Å, degrees): 3.8610 6.2709 5.0209 106.47 67.39 72.07
With the nearest neighbours (Å) after each atom.
Sites, in units of the cell vectors:
Hf 0.5000 0.5000 0.5000  10 Pt 2.75-2.95, 2 Cu 2.82
Cu 0.0000 0.0000 0.0000  10 Pt 2.72-2.96, 2 Hf 2.82
Pt 0.6603 0.6783 0.0012  2 Cu 2.72, 7 Pt 2.76-2.88, 3 Hf 2.83-2.95
Pt 0.3397 0.3217 0.9988  2 Cu 2.72, 7 Pt 2.76-2.88, 3 Hf 2.83-2.95
Pt 0.1713 0.1682 0.4892  2 Hf 2.75, 7 Pt 2.76-2.88, 3 Cu 2.79-2.96
Pt 0.8287 0.8318 0.5108  2 Hf 2.75, 7 Pt 2.76-2.88, 3 Cu 2.79-2.96

No. 3
DFT (GGA-PBE) results for a relaxed Sc4SnHPb crystal.

Output
Total DFT energy (no corrections) (eV/atom): -5.726
Space group: Cmcm (63)

Lattice parameters (Å, degrees): 6.0469 6.0604 8.4615 90.00 110.94 90.00
With the nearest neighbours (Å) after each atom.
Sites, in units of the cell vectors:
Sc 0.9224 0.2500 0.8449  3 Pb 2.95-3.07, 2 Sn 3.07
Sc 0.4240 0.7500 0.8480  1 H 2.16
Sc 0.0776 0.7500 0.1551  3 Pb 2.95-3.07, 2 Sn 3.07
Sc 0.5760 0.2500 0.1520  1 H 2.16
Sc 0.5000 0.5000 0.5000  2 H 2.22
Sc 0.0000 0.0000 0.5000  2 H 2.22
Sc 0.5000 0.0000 0.5000  2 H 2.22
Sc 0.0000 0.5000 0.5000  2 H 2.22
Sn 0.6118 0.7500 0.2236  9 Sc 2.97-3.08
Sn 0.3882 0.2500 0.7764  9 Sc 2.97-3.08
H 0.2871 0.7500 0.5742  5 Sc 2.16-2.22
H 0.7129 0.2500 0.4258  5 Sc 2.16-2.22
Pb 0.1094 0.2500 0.2187  9 Sc 2.95-3.09
Pb 0.8906 0.7500 0.7813  9 Sc 2.95-3.09

Repeat the second record exactly.
DFT (GGA-PBE) results for a relaxed HfCuPt4 crystal.

Output
Total DFT energy (no corrections) (eV/atom): -7.026
Space group: C2/m (12)
Formation energy (meV/atom): -657

Lattice parameters (Å, degrees): 3.8610 6.2709 5.0209 106.47 67.39 72.07
With the nearest neighbours (Å) after each atom.
Sites, in units of the cell vectors:
Hf 0.5000 0.5000 0.5000  10 Pt 2.75-2.95, 2 Cu 2.82
Cu 0.0000 0.0000 0.0000  10 Pt 2.72-2.96, 2 Hf 2.82
Pt 0.6603 0.6783 0.0012  2 Cu 2.72, 7 Pt 2.76-2.88, 3 Hf 2.83-2.95
Pt 0.3397 0.3217 0.9988  2 Cu 2.72, 7 Pt 2.76-2.88, 3 Hf 2.83-2.95
Pt 0.1713 0.1682 0.4892  2 Hf 2.75, 7 Pt 2.76-2.88, 3 Cu 2.79-2.96
Pt 0.8287 0.8318 0.5108  2 Hf 2.75, 7 Pt 2.76-2.88, 3 Cu 2.79-2.96